## CdNiI2 (PBE)

Data for crystalline CdNiI2 at its relaxed geometry.

Output
Magnetization in μB/atom: 0.466
Distance to the lowest polymorph of the same formula in meV per atom: 44
Final energy in eV/f.u.: -9.54
E_form (uncorrected) in kJ/mol of atoms: 6.3

Lattice parameters (Å, degrees): 3.919 3.919 31.224 90.00 90.00 120.00
Sites, in units of the cell vectors:
Cd 0.000 0.000 0.000
Cd 0.333 0.667 0.667
Cd 0.667 0.333 0.333
Ni 0.000 0.000 0.500
Ni 0.333 0.667 0.167
Ni 0.667 0.333 0.833
I 0.000 0.000 0.118
I 0.000 0.000 0.882
I 0.333 0.667 0.549
I 0.333 0.667 0.785
I 0.667 0.333 0.215
I 0.667 0.333 0.451